12
Lattice="7.763 0.000 0.000 -3.881 5.259 -3.923 0.000 -0.025 8.084" Properties=species:S:1:pos:R:3 comment="PBE Cd3CuCl8, relaxed" raw_formation_energy_ev_per_fu=-10.90 crystal_system=monoclinic total_energy_ev_per_fu=-32.514 dos_at_fermi_per_ev_fu=3.122 magnetic_moment_mub_per_fu=1.0 pbc="T T T"
Cl 1.979 5.241 -2.136
Cl -1.979 5.241 -2.136
Cl 1.902 -0.006 6.297
Cl 3.881 2.932 4.199
Cl 5.860 -0.006 6.297
Cl 0.000 2.303 -0.038
Cl 0.000 2.579 4.317
Cl 3.881 2.655 -0.156
Cd -1.941 2.630 -1.962
Cd 1.941 2.630 -1.962
Cd 3.881 0.000 0.000
Cu 0.000 0.000 0.000